The following is a PBE calculation of crystalline NaLa2MgFe at its relaxed geometry, from the Alexandria database.

The value obtained for the calculated formation energy is 65 meV/atom. The density of states at the Fermi level is 4.8 states/eV per cell. The spin magnetization comes out at 0.0 μB per formula unit.

Unit cell a=5.197 b=5.197 c=5.393 alpha=90.00 beta=90.00 gamma=90.00
Space group P4/mmm (No. 123)
One atom of each set of equivalent atoms:
Na  0.000  0.000  0.000 x1
La  0.000  0.500  0.500 x2
Mg  0.500  0.500  0.000 x1
Fe  0.500  0.500  0.500 x1